No. 1
Entry from Alexandria via LeMat-Bulk: an optimized crystal structure of LiB3Ir (PBE-GGA).

Cell and atoms, written as POSCAR:
```
LiB3Ir
1.0
4.102 0.000 0.000
0.000 4.102 0.000
0.000 0.000 4.102
Li B Ir
1 3 1
direct
0.000 0.000 0.000
0.000 0.500 0.500
0.500 0.000 0.500
0.500 0.500 0.000
0.500 0.500 0.500
```

* final energy: -27.35 eV/cell
* formation enthalpy at 0 K: 692 meV per atom
* total moment: 0.998 Bohr magnetons per cell
* energy above the lowest structure with this stoichiometry: 0.000 eV/atom

No. 2
Entry from Alexandria via LeMat-Bulk: an optimized crystal structure of LiB2Ir2 (PBE-GGA).

Cell and atoms, written as POSCAR:
```
LiB2Ir2
1.0
-1.481 1.481 6.110
1.481 -1.481 6.110
1.481 1.481 -6.110
Li B Ir
1 2 2
direct
0.000 0.000 0.000
0.250 0.750 0.500
0.750 0.250 0.500
0.378 0.378 0.000
0.622 0.622 0.000
```

* final energy: -34.04 eV/cell
* formation enthalpy at 0 K: -210 meV per atom
* total moment: 0.000 Bohr magnetons per cell
* energy above the lowest structure with this stoichiometry: 0.126 eV/atom

No. 3
Entry from Alexandria via LeMat-Bulk: an optimized crystal structure of LiBIr2 (PBE-GGA).

Cell and atoms, written as POSCAR:
```
LiBIr2
1.0
2.773 0.000 0.000
0.000 2.773 0.000
0.000 0.000 5.904
Li B Ir
1 1 2
direct
0.000 0.000 0.000
0.000 0.000 0.500
0.500 0.500 0.280
0.500 0.500 0.720
```

* final energy: -26.33 eV/cell
* formation enthalpy at 0 K: -5 meV per atom
* total moment: 0.000 Bohr magnetons per cell

No. 4
Entry from Alexandria via LeMat-Bulk: an optimized crystal structure of LiBIr2 (PBE-GGA).

Cell and atoms, written as POSCAR:
```
LiBIr2
1.0
1.399 0.808 7.381
-1.399 0.808 7.381
0.000 -1.616 7.381
Li B Ir
1 1 2
direct
0.000 0.000 0.000
0.500 0.500 0.500
0.233 0.233 0.233
0.767 0.767 0.767
```

* final energy: -27.15 eV/cell
* formation enthalpy at 0 K: -209 meV per atom
* total moment: 0.000 Bohr magnetons per cell

| no. | theoretical density (Mg/m³) |
| --- | --- |
| 1 | 5.572 |
| 2 | 12.792 |
| 3 | 14.710 |
| 4 | 13.338 |